The following is a PBE calculation of an optimized crystal structure of CaTbPdPt, from the Alexandria database.

Energy above the most stable polymorph in this dataset ... 0.028 eV per atom
Crystal system ... cubic
SG ... F-43m

Lattice parameters (Å, degrees): 4.948 4.948 4.948 60.00 60.00 60.00
Element x y z (fractional)
Ca 0.750 0.750 0.750
Tb 0.250 0.250 0.250
Pt 0.000 0.000 0.000
Pd 0.500 0.500 0.500



The following is a PBE calculation of an optimized crystal structure of CaThPdPt, from the Alexandria database.

Energy above the most stable polymorph in this dataset ... 0.084 eV per atom
Crystal system ... cubic
SG ... F-43m

Lattice parameters (Å, degrees): 5.054 5.054 5.054 60.00 60.00 60.00
Element x y z (fractional)
Th 0.000 0.000 0.000
Pt 0.250 0.250 0.250
Pd 0.750 0.750 0.750
Ca 0.500 0.500 0.500



The following is a PBE calculation of an optimized crystal structure of CaThPdPt, from the Alexandria database.

Energy above the most stable polymorph in this dataset ... 0.000 eV per atom
Crystal system ... orthorhombic
SG ... Amm2

Lattice parameters (Å, degrees): 3.904 4.424 5.871 90.00 109.42 90.00
Element x y z (fractional)
Th 0.868 0.500 0.736
Pd 0.584 0.500 0.167
Ca 0.140 0.000 0.280
Pt 0.409 0.000 0.817



The following is a PBE calculation of an optimized crystal structure of Ca2Zn2PdPt5, from the Alexandria database.

Crystal system ... tetragonal
SG ... P4/mbm

Lattice parameters (Å, degrees): 3.898 9.479 9.479 90.00 90.00 90.00
Element x y z (fractional)
Pt 0.500 0.500 0.000
Pt 0.500 0.563 0.706
Pt 0.500 0.794 0.937
Pt 0.500 0.706 0.437
Pt 0.500 0.437 0.294
Pt 0.500 0.000 0.500
Pt 0.500 0.937 0.206
Pt 0.500 0.294 0.563
Pt 0.500 0.063 0.794
Pt 0.500 0.206 0.063
Ca 0.000 0.678 0.178
Ca 0.000 0.822 0.678
Ca 0.000 0.178 0.322
Ca 0.000 0.322 0.822
Pd 0.000 0.500 0.500
Pd 0.000 0.000 0.000
Zn 0.000 0.122 0.622
Zn 0.000 0.622 0.878
Zn 0.000 0.378 0.122
Zn 0.000 0.878 0.378



The following is a PBE calculation of an optimized crystal structure of Ca2Zn5PdPt2, from the Alexandria database.

Crystal system ... tetragonal
SG ... P4/mbm

Lattice parameters (Å, degrees): 3.869 9.742 9.742 90.00 90.00 90.00
Element x y z (fractional)
Ca 0.000 0.175 0.325
Ca 0.000 0.325 0.825
Ca 0.000 0.675 0.175
Ca 0.000 0.825 0.675
Zn 0.500 0.194 0.059
Zn 0.500 0.441 0.306
Zn 0.500 0.059 0.806
Zn 0.500 0.000 0.500
Zn 0.500 0.694 0.441
Zn 0.500 0.941 0.194
Zn 0.500 0.806 0.941
Zn 0.500 0.306 0.559
Zn 0.500 0.559 0.694
Zn 0.500 0.500 0.000
Pt 0.000 0.377 0.123
Pt 0.000 0.623 0.877
Pt 0.000 0.877 0.377
Pt 0.000 0.123 0.623
Pd 0.000 0.000 0.000
Pd 0.000 0.500 0.500



The following is a PBE calculation of an optimized crystal structure of Ca2Zn4PdPt3, from the Alexandria database.

Crystal system ... tetragonal
SG ... P-4m2

Lattice parameters (Å, degrees): 4.139 4.139 11.032 90.00 90.00 90.00
Element x y z (fractional)
Zn 0.500 0.500 0.000
Zn 0.500 0.000 0.634
Zn 0.000 0.000 0.000
Zn 0.000 0.500 0.366
Pt 0.500 0.000 0.860
Pt 0.000 0.000 0.500
Pt 0.000 0.500 0.140
Ca 0.500 0.000 0.255
Ca 0.000 0.500 0.745
Pd 0.500 0.500 0.500



The following is a PBE calculation of an optimized crystal structure of Ca2Zn6PdPt, from the Alexandria database.

Crystal system ... orthorhombic
SG ... Immm

Lattice parameters (Å, degrees): 6.830 6.834 6.845 59.93 59.95 89.88
Element x y z (fractional)
Zn 0.751 0.751 0.498
Zn 0.249 0.249 0.502
Zn 0.249 0.751 0.000
Zn 0.751 0.249 0.000
Zn 0.751 0.751 0.000
Zn 0.249 0.249 0.000
Pd 0.000 0.000 0.000
Pt 0.500 0.500 0.000
Ca 0.250 0.750 0.500
Ca 0.750 0.250 0.500



The following is a PBE calculation of an optimized crystal structure of Ca2ZnPd5Pt2, from the Alexandria database.

Crystal system ... tetragonal
SG ... P4/mbm

Lattice parameters (Å, degrees): 3.966 9.632 9.632 90.00 90.00 90.00
Element x y z (fractional)
Pd 0.500 0.000 0.500
Pd 0.500 0.061 0.807
Pd 0.500 0.807 0.939
Pd 0.500 0.693 0.439
Pd 0.500 0.439 0.307
Pd 0.500 0.307 0.561
Pd 0.500 0.500 0.000
Pd 0.500 0.939 0.193
Pd 0.500 0.193 0.061
Pd 0.500 0.561 0.693
Ca 0.000 0.831 0.669
Ca 0.000 0.669 0.169
Ca 0.000 0.169 0.331
Ca 0.000 0.331 0.831
Zn 0.000 0.000 0.000
Zn 0.000 0.500 0.500
Pt 0.000 0.630 0.870
Pt 0.000 0.870 0.370
Pt 0.000 0.370 0.130
Pt 0.000 0.130 0.630



Total energy readings, ordered: -5.399; -6.031; -6.114; -4.819; -3.272; -3.932; -2.552; -4.822 eV per atom